(1)
The following is a PBE calculation of a relaxed structure of K2CrAg, from Alexandria via LeMat-Bulk.

It has space group Pm (No. 6), with a = 5.119 Å, b = 4.774 Å, c = 6.821 Å, α = 90.00°, β = 111.97° and γ = 90.00°. The distinct sites, in fractional coordinates, are K at (0.000, 0.000, 0.000), K at (0.297, 0.500, 0.593), Cr at (0.598, 0.500, 0.195) and Ag at (0.704, 0.000, 0.407).

As for the energy of formation from the pure elements: 0.56 eV/atom. The total moment is 5.1 μB/cell. As for the energy above the most stable polymorph in this dataset: 0.24 eV/f.u.

***

(2)
The following is a PBE calculation of a relaxed structure of KCrAg3, from Alexandria via LeMat-Bulk.

It has space group Pm-3m (No. 221), with a = 5.248 Å, b = 5.248 Å, c = 5.248 Å, α = 90.00°, β = 90.00° and γ = 90.00°. The distinct sites, in fractional coordinates, are K at (0.000, 0.000, 0.000), Cr at (0.500, 0.500, 0.500) and Ag at (0.000, 0.500, 0.500).

As for the energy of formation from the pure elements: 0.60 eV/atom. The total moment is 4.6 μB/cell. As for the energy above the most stable polymorph in this dataset: 0.00 eV/f.u.

***

Q: Which of these has the highest energy of formation from the pure elements?
A: KCrAg3

***

Q: total moment of number 1 (K2CrAg)?
A: 5.1 μB/cell

***

Q: What is the energy of formation from the pure elements in the second record?
A: 0.60 eV/atom

***

Q: What is the formula in the first record?
A: K2CrAg